## YNbOs2 (PBE)

Data for YNbOs2 after structural relaxation.

Fermi-level density of states, states/eV per cell: 3.407
Calculated density, kg/m³: 11907
Total energy, eV/atom: -9.288

Geometry as POSCAR:
```
YNbOs2
1.0
-2.692 3.352 -5.962
-0.147 -6.434 -3.551
-4.120 -2.008 -3.799
Os Y Nb
4 2 2
direct
0.875 0.908 0.750
0.092 0.625 0.250
0.375 0.342 0.750
0.658 0.125 0.250
0.500 0.500 0.000
0.250 0.750 0.500
0.750 0.250 0.500
0.000 0.000 0.000
```

=====

## Y2NbOs2 (PBE)

Data for Y2NbOs2 after structural relaxation.

Fermi-level density of states, states/eV per cell: 5.654
Calculated density, kg/m³: 9995
Total energy, eV/atom: -9.334

Geometry as POSCAR:
```
Y2NbOs2
1.0
3.788 0.003 1.610
1.169 5.108 2.491
-0.216 0.663 5.760
Os Y Nb
2 2 1
direct
0.000 0.778 0.722
0.000 0.222 0.278
0.705 0.795 0.295
0.295 0.205 0.705
0.500 0.500 0.000
```

=====

## YNbOs3 (PBE)

Data for YNbOs3 after structural relaxation.

Fermi-level density of states, states/eV per cell: 3.610
Calculated density, kg/m³: 11483
Total energy, eV/atom: -8.795

Geometry as POSCAR:
```
YNbOs3
1.0
4.774 0.000 0.000
0.000 4.774 0.000
0.000 0.000 4.774
Os Y Nb
3 1 1
direct
0.500 0.000 0.000
0.000 0.000 0.500
0.000 0.500 0.000
0.500 0.500 0.500
0.000 0.000 0.000
```

=====

## NbZn2Os (PBE)

Data for NbZn2Os after structural relaxation.

Fermi-level density of states, states/eV per cell: 1.651
Calculated density, kg/m³: 11611
Total energy, eV/atom: -5.816

Geometry as POSCAR:
```
NbZn2Os
1.0
0.000 3.093 3.093
3.093 0.000 3.093
3.093 3.093 0.000
Zn Nb Os
2 1 1
direct
0.250 0.250 0.250
0.750 0.750 0.750
0.000 0.000 0.000
0.500 0.500 0.500
```

=====

## NbZnOs2 (PBE)

Data for NbZnOs2 after structural relaxation.

Fermi-level density of states, states/eV per cell: 3.102
Calculated density, kg/m³: 14756
Total energy, eV/atom: -8.489

Geometry as POSCAR:
```
NbZnOs2
1.0
3.184 0.000 0.000
0.000 3.184 0.000
0.000 0.000 5.981
Os Nb Zn
2 1 1
direct
0.000 0.000 0.241
0.000 0.000 0.759
0.500 0.500 0.500
0.500 0.500 0.000
```

=====

## Nb2Zn2Os (PBE)

Data for Nb2Zn2Os after structural relaxation.

Fermi-level density of states, states/eV per cell: 0.751
Calculated density, kg/m³: 10788
Total energy, eV/atom: -6.755

Geometry as POSCAR:
```
Nb2Zn2Os
1.0
-6.558 -0.082 1.359
-0.652 -5.681 -3.489
0.621 -1.842 2.884
Nb Zn Os
4 4 2
direct
0.326 0.174 0.500
0.826 0.326 0.500
0.674 0.826 0.500
0.174 0.674 0.500
0.627 0.127 0.000
0.873 0.627 0.000
0.373 0.873 0.000
0.127 0.373 0.000
0.500 0.500 0.000
0.000 0.000 0.000
```

=====

## NbZn4Os (PBE)

Data for NbZn4Os after structural relaxation.

Fermi-level density of states, states/eV per cell: 2.917
Calculated density, kg/m³: 10649
Total energy, eV/atom: -4.409

Geometry as POSCAR:
```
NbZn4Os
1.0
-0.534 -4.883 0.465
2.400 -2.415 3.571
-2.495 -1.855 3.832
Zn Os Nb
4 1 1
direct
0.625 0.125 0.625
0.625 0.625 0.125
0.125 0.625 0.625
0.625 0.625 0.625
0.000 0.000 0.000
0.250 0.250 0.250
```

=====

## NbZn2Os (PBE)

Data for NbZn2Os after structural relaxation.

Fermi-level density of states, states/eV per cell: 2.813
Calculated density, kg/m³: 10323
Total energy, eV/atom: -5.659

Geometry as POSCAR:
```
NbZn2Os
1.0
-2.321 1.766 2.322
-2.874 -1.894 -1.432
-1.308 -6.958 6.975
Os Nb Zn
2 2 4
direct
0.000 0.000 0.000
0.750 0.250 0.500
0.250 0.750 0.500
0.500 0.500 0.000
0.110 0.625 0.250
0.875 0.890 0.750
0.375 0.360 0.750
0.640 0.125 0.250
```

=====

## Nb2ZnOs2 (PBE)

Data for Nb2ZnOs2 after structural relaxation.

Fermi-level density of states, states/eV per cell: 1.602
Calculated density, kg/m³: 10649
Total energy, eV/atom: -8.516

Geometry as POSCAR:
```
Nb2ZnOs2
1.0
-1.890 3.803 -0.658
-3.721 -1.990 -0.816
-4.079 1.169 4.434
Nb Os Zn
2 2 1
direct
0.250 0.750 0.500
0.750 0.250 0.500
0.384 0.384 0.232
0.616 0.616 0.768
0.000 0.000 0.000
```

=====

## NbZnOs2 (PBE)

Data for NbZnOs2 after structural relaxation.

Fermi-level density of states, states/eV per cell: 5.447
Calculated density, kg/m³: 13240
Total energy, eV/atom: -7.713

Geometry as POSCAR:
```
NbZnOs2
1.0
7.090 0.000 0.000
0.000 7.090 0.000
3.545 3.545 2.689
Os Zn Nb
4 2 2
direct
0.114 0.625 0.250
0.375 0.364 0.750
0.636 0.125 0.250
0.875 0.886 0.750
0.500 0.500 0.000
0.250 0.750 0.500
0.750 0.250 0.500
0.000 0.000 0.000
```

=====

## NbZnOs2 (PBE)

Data for NbZnOs2 after structural relaxation.

Fermi-level density of states, states/eV per cell: 3.817
Calculated density, kg/m³: 14784
Total energy, eV/atom: -8.417

Geometry as POSCAR:
```
NbZnOs2
1.0
-2.626 0.574 -2.142
-2.648 -1.651 2.805
-0.560 3.794 1.704
Os Nb Zn
2 1 1
direct
0.000 0.000 0.500
0.000 0.500 0.000
0.500 0.500 0.500
0.500 0.000 0.000
```

=====

## Nb6ZnOs (PBE)

Data for Nb6ZnOs after structural relaxation.

Fermi-level density of states, states/eV per cell: 7.358
Calculated density, kg/m³: 9723
Total energy, eV/atom: -9.194

Geometry as POSCAR:
```
Nb6ZnOs
1.0
-1.605 2.102 3.859
-2.845 -3.628 0.793
2.317 -3.577 5.747
Nb Zn Os
6 1 1
direct
0.877 0.377 0.246
0.123 0.623 0.754
0.623 0.123 0.754
0.747 0.747 0.506
0.253 0.253 0.494
0.377 0.877 0.246
0.500 0.500 0.000
0.000 0.000 0.000
```

=====

## Nb2ZnOs2 (PBE)

Data for Nb2ZnOs2 after structural relaxation.

Fermi-level density of states, states/eV per cell: 7.237
Calculated density, kg/m³: 12182
Total energy, eV/atom: -8.741

Geometry as POSCAR:
```
Nb2ZnOs2
1.0
-2.239 -4.349 5.727
-1.886 -5.433 -4.863
2.797 -1.160 0.212
Zn Nb Os
2 4 4
direct
0.000 0.000 0.000
0.500 0.500 0.000
0.159 0.659 0.500
0.841 0.341 0.500
0.659 0.841 0.500
0.341 0.159 0.500
0.861 0.639 0.000
0.361 0.861 0.000
0.139 0.361 0.000
0.639 0.139 0.000
```

=====

## Nb2ZnOs2 (PBE)

Data for Nb2ZnOs2 after structural relaxation.

Fermi-level density of states, states/eV per cell: 7.946
Calculated density, kg/m³: 12001
Total energy, eV/atom: -8.596

Geometry as POSCAR:
```
Nb2ZnOs2
1.0
7.660 0.000 0.000
0.000 7.660 0.000
0.000 0.000 2.979
Os Zn Nb
4 2 4
direct
0.643 0.857 0.500
0.357 0.143 0.500
0.143 0.643 0.500
0.857 0.357 0.500
0.000 0.000 0.000
0.500 0.500 0.000
0.349 0.849 0.000
0.651 0.151 0.000
0.151 0.349 0.000
0.849 0.651 0.000
```

=====

## ZrNb2Os2 (PBE)

Data for ZrNb2Os2 after structural relaxation.

Fermi-level density of states, states/eV per cell: 11.210
Calculated density, kg/m³: 12241
Total energy, eV/atom: -10.267

Geometry as POSCAR:
```
ZrNb2Os2
1.0
7.760 0.000 0.000
0.000 7.760 0.000
0.000 0.000 2.963
Os Zr Nb
4 2 4
direct
0.851 0.351 0.500
0.351 0.149 0.500
0.649 0.851 0.500
0.149 0.649 0.500
0.000 0.000 0.000
0.500 0.500 0.000
0.852 0.648 0.000
0.352 0.852 0.000
0.648 0.148 0.000
0.148 0.352 0.000
```

=====

## ZrNbOs3 (PBE)

Data for ZrNbOs3 after structural relaxation.

Fermi-level density of states, states/eV per cell: 4.784
Calculated density, kg/m³: 12001
Total energy, eV/atom: -8.939

Geometry as POSCAR:
```
ZrNbOs3
1.0
-3.377 2.634 1.958
-3.282 -2.661 -2.080
-0.057 -2.856 3.744
Nb Os Zr
1 3 1
direct
0.000 0.000 0.000
0.000 0.000 0.500
0.000 0.500 0.000
0.500 0.000 0.000
0.500 0.500 0.500
```

=====

## Zr5NbOs6 (PBE)

Data for Zr5NbOs6 after structural relaxation.

Fermi-level density of states, states/eV per cell: 2.659
Calculated density, kg/m³: 13400
Total energy, eV/atom: -10.467

Geometry as POSCAR:
```
Zr5NbOs6
1.0
-1.272 3.958 -2.048
3.761 -1.439 -5.116
-6.581 -4.529 0.578
Zr Os Nb
5 6 1
direct
0.666 0.166 0.332
0.667 0.667 0.334
0.333 0.333 0.666
0.334 0.834 0.668
0.000 0.500 0.000
0.500 0.755 0.000
0.835 0.588 0.671
0.835 0.083 0.671
0.500 0.245 0.000
0.165 0.917 0.329
0.165 0.412 0.329
0.000 0.000 0.000
```

=====

## ZrNb2Os (PBE)

Data for ZrNb2Os after structural relaxation.

Fermi-level density of states, states/eV per cell: 5.888
Calculated density, kg/m³: 9732
Total energy, eV/atom: -9.674

Geometry as POSCAR:
```
ZrNb2Os
1.0
-2.055 -1.100 7.233
7.254 -1.280 1.867
2.944 1.502 5.057
Os Zr Nb
2 2 4
direct
0.750 0.250 0.500
0.000 0.000 0.000
0.250 0.750 0.500
0.500 0.500 0.000
0.875 0.916 0.750
0.084 0.625 0.250
0.666 0.125 0.250
0.375 0.334 0.750
```

=====

## ZrNb3Os (PBE)

Data for ZrNb3Os after structural relaxation.

Fermi-level density of states, states/eV per cell: 7.770
Calculated density, kg/m³: 8547
Total energy, eV/atom: -7.892

Geometry as POSCAR:
```
ZrNb3Os
1.0
-4.075 0.189 -2.481
-2.478 -0.738 4.014
-0.224 4.713 0.728
Zr Nb Os
1 3 1
direct
0.000 0.000 0.000
0.000 0.500 0.000
0.500 0.000 0.000
0.000 0.000 0.500
0.500 0.500 0.500
```

=====

## Zr5NbOs4 (PBE)

Data for Zr5NbOs4 after structural relaxation.

Fermi-level density of states, states/eV per cell: 3.872
Calculated density, kg/m³: 11908
Total energy, eV/atom: -10.180

Geometry as POSCAR:
```
Zr5NbOs4
1.0
-3.019 0.925 -0.893
0.408 -1.472 -2.904
-6.304 -14.387 6.408
Zr Os Nb
5 4 1
direct
0.500 0.500 0.500
0.500 0.500 0.889
0.500 0.500 0.695
0.500 0.500 0.111
0.500 0.500 0.305
0.000 0.000 0.403
0.000 0.000 0.208
0.000 0.000 0.597
0.000 0.000 0.792
0.000 0.000 0.000
```

=====

## ZrNb2Os (PBE)

Data for ZrNb2Os after structural relaxation.

Fermi-level density of states, states/eV per cell: 3.813
Calculated density, kg/m³: 10967
Total energy, eV/atom: -10.096

Geometry as POSCAR:
```
ZrNb2Os
1.0
3.264 0.000 0.000
0.000 4.655 0.000
0.000 0.000 4.655
Nb Os Zr
2 1 1
direct
0.000 0.500 0.000
0.000 0.000 0.500
0.500 0.000 0.000
0.500 0.500 0.500
```

=====

## ZrNb2Os2 (PBE)

Data for ZrNb2Os2 after structural relaxation.

Fermi-level density of states, states/eV per cell: 3.644
Calculated density, kg/m³: 10996
Total energy, eV/atom: -10.282

Geometry as POSCAR:
```
ZrNb2Os2
1.0
-0.695 -1.125 -4.109
-1.620 -3.781 1.309
-6.021 -0.290 -1.170
Os Nb Zr
2 2 1
direct
0.615 0.615 0.769
0.385 0.385 0.231
0.250 0.750 0.500
0.750 0.250 0.500
0.000 0.000 0.000
```

=====

## ZrNb2Os (PBE)

Data for ZrNb2Os after structural relaxation.

Fermi-level density of states, states/eV per cell: 3.914
Calculated density, kg/m³: 11027
Total energy, eV/atom: -10.140

Geometry as POSCAR:
```
ZrNb2Os
1.0
-3.980 -1.801 1.546
-4.045 1.738 -1.445
-2.692 -2.464 -2.856
Nb Os Zr
2 1 1
direct
0.750 0.750 0.750
0.250 0.250 0.250
0.500 0.500 0.500
0.000 0.000 0.000
```

=====

## ZrNbOs2 (PBE)

Data for ZrNbOs2 after structural relaxation.

Fermi-level density of states, states/eV per cell: 12.766
Calculated density, kg/m³: 12762
Total energy, eV/atom: -9.866

Geometry as POSCAR:
```
ZrNbOs2
1.0
-4.381 4.621 -3.435
-4.561 -5.419 -1.473
-5.834 0.095 -0.051
Os Nb Zr
4 2 2
direct
0.375 0.357 0.750
0.107 0.625 0.250
0.643 0.125 0.250
0.875 0.893 0.750
0.750 0.250 0.500
0.000 0.000 0.000
0.250 0.750 0.500
0.500 0.500 0.000
```

=====

## Zr2Nb2Os (PBE)

Data for Zr2Nb2Os after structural relaxation.

Fermi-level density of states, states/eV per cell: 8.348
Calculated density, kg/m³: 9064
Total energy, eV/atom: -9.587

Geometry as POSCAR:
```
Zr2Nb2Os
1.0
-5.139 2.568 -3.401
-0.166 -5.445 -3.860
-2.929 -1.985 2.926
Zr Nb Os
4 4 2
direct
0.833 0.333 0.500
0.167 0.667 0.500
0.333 0.167 0.500
0.667 0.833 0.500
0.148 0.352 0.000
0.352 0.852 0.000
0.648 0.148 0.000
0.852 0.648 0.000
0.500 0.500 0.000
0.000 0.000 0.000
```